Record 1
# KNiIO6

An optimized crystal structure of KNiIO6 (GGA+U, the Alexandria database).

Values from the calculation:
Volume: 14.84 Å³/atom
VASP energy: -40.91 eV/cell
ρ: 3.99 g cm⁻³

Unit cell a=5.0191 b=5.0191 c=6.1210 alpha=90.00 beta=90.00 gamma=120.00
Space group P312 (No. 149)
Unique sites:
K 0.0000 0.0000 0.0000
Ni 0.6667 0.3333 0.5000
I 0.3333 0.6667 0.5000
O 0.3795 0.0025 0.3249

Record 2
# K3NiI2O9

An optimized crystal structure of K3NiI2O9 (GGA+U, the Alexandria database).

Values from the calculation:
Volume: 13.32 Å³/atom
VASP energy: -66.03 eV/cell
ρ: 4.77 g cm⁻³

Unit cell a=5.7280 b=5.7280 c=7.0298 alpha=90.00 beta=90.00 gamma=120.00
Space group P-3m1 (No. 164)
Unique sites:
K 0.0000 0.0000 0.0000
K 0.3333 0.6667 0.6665
Ni 0.0000 0.0000 0.5000
I 0.3333 0.6667 0.1813
O 0.0000 0.5000 0.0000
O 0.1741 0.3481 0.3226

Record 3
# KNiI2O

An optimized crystal structure of KNiI2O (GGA+U, the Alexandria database).

Values from the calculation:
Volume: 37.57 Å³/atom
ρ: 3.25 g cm⁻³
Polymorph energy (0 for the lowest one): 1232 meV per atom

Unit cell a=6.3319 b=6.3319 c=4.6856 alpha=90.00 beta=90.00 gamma=90.00
Space group P4/mmm (No. 123)
Unique sites:
K 0.0000 0.0000 0.0000
Ni 0.5000 0.5000 0.5000
I 0.0000 0.5000 0.0000
O 0.0000 0.0000 0.5000

Record 4
# KNiIO2

An optimized crystal structure of KNiIO2 (GGA+U, the Alexandria database).

Values from the calculation:
Volume: 20.97 Å³/atom
ρ: 4.06 g cm⁻³
Polymorph energy (0 for the lowest one): 0 meV per atom

Unit cell a=4.3466 b=4.3466 c=5.5507 alpha=90.00 beta=90.00 gamma=90.00
Space group P4/mmm (No. 123)
Unique sites:
K 0.0000 0.0000 0.0000
Ni 0.5000 0.5000 0.5000
I 0.5000 0.5000 0.0000
O 0.0000 0.5000 0.5000

Among the records above, which one has the lowest ρ? KNiI2O

Look up the volume of the fourth one. 20.97 Å³/atom

Number 2 is which compound? K3NiI2O9